Entry 1:
MnIr3Pt | PBE-GGA | optimized geometry

Cell and atoms, written as extended XYZ:
```
5
Lattice="4.416 0.000 0.000 0.000 4.416 0.000 0.000 0.000 4.416" Properties=species:S:1:pos:R:3 pbc="T T T"
Mn 0.000 0.000 0.000
Ir 0.000 0.000 2.208
Ir 0.000 2.208 0.000
Ir 2.208 0.000 0.000
Pt 2.208 2.208 2.208
```

Summary:
Its formation energy from the elements is 670 kJ/mol of formula units. As for the space group: No. 221.

Entry 2:
KB | PBE-GGA | optimized geometry

Cell and atoms, written as extended XYZ:
```
4
Lattice="3.180 0.000 0.000 -0.166 4.497 0.000 -0.069 -2.245 8.542" Properties=species:S:1:pos:R:3 pbc="T T T"
K 0.000 0.000 0.000
K 1.309 2.253 4.659
B 1.389 0.004 6.641
B 2.978 0.004 6.560
```

Summary:
Its formation energy from the elements is 51 kJ/mol of formula units. As for the space group: No. 1.

Entry 3:
LaPm6Ho3Tm2 | PBE-GGA | optimized geometry

Cell and atoms, written as extended XYZ:
```
12
Lattice="3.123 -5.410 0.000 3.123 5.410 0.000 -2.082 0.000 11.708" Properties=species:S:1:pos:R:3 pbc="T T T"
La 0.000 0.000 0.000
Pm 1.046 1.811 2.950
Pm 0.007 0.000 8.758
Pm 1.046 -1.811 2.950
Pm 3.118 1.811 8.759
Pm 4.158 0.000 2.950
Pm 3.118 -1.811 8.759
Ho 2.082 3.601 5.854
Ho 2.082 0.000 5.854
Ho 2.082 -3.601 5.854
Tm 3.123 1.802 0.000
Tm 3.123 -1.802 0.000
```

Summary:
Its formation energy from the elements is 23 kJ/mol of formula units. As for the space group: No. 12.